! Sc3ReGe, optimized geometry, DFT PBE-GGA; values from VASP
&SYSTEM
  ibrav = 0, nat = 5, ntyp = 3
/
ATOMIC_SPECIES
Sc 44.96 Sc.upf
Re 186.21 Re.upf
Ge 72.64 Ge.upf
CELL_PARAMETERS angstrom
4.906 0.000 0.000
0.000 4.906 0.000
0.000 0.000 4.906
ATOMIC_POSITIONS crystal
Sc 0.000 0.000 0.500
Sc 0.000 0.500 0.000
Sc 0.500 0.000 0.000
Re 0.500 0.500 0.500
Ge 0.000 0.000 0.000
! space group: Pm-3m, No. 221
! ΔH_f (0 K): 0.719 eV/atom